FeTcP2O | GGA+U | relaxed

Cell and atoms, written as POSCAR:
```
FeTcP2O
1.0
4.5721 0.0000 0.0000
0.0000 4.5721 0.0000
0.0000 0.0000 3.2811
Fe Tc P O
1 1 2 1
Direct
0.0000 0.0000 0.0000 Fe
0.5000 0.5000 0.5000 Tc
0.0000 0.5000 0.0000 P
0.5000 0.0000 0.0000 P
0.0000 0.0000 0.5000 O
```

Summary:
magnetization: 1.628 Bohr magnetons per cell
excess energy over the best structure of this formula in the dataset: 565.5 meV/atom
symmetry: P4/mmm (123)